A geometry-optimized Tm3GaSn structure. Source: the Alexandria database, functional PBE. Values from VASP.

Geometry as Quantum ESPRESSO input:
```
&SYSTEM
  ibrav = 0, nat = 20, ntyp = 3
/
ATOMIC_SPECIES
Tm 168.93 Tm.upf
Ga 69.72 Ga.upf
Sn 118.71 Sn.upf
ATOMIC_POSITIONS crystal
Tm 0.997 0.127 0.107
Tm 0.503 0.627 0.607
Tm 0.503 0.627 0.893
Tm 0.003 0.873 0.607
Tm 0.003 0.873 0.893
Tm 0.497 0.373 0.393
Tm 0.497 0.373 0.107
Tm 0.997 0.127 0.393
Tm 0.260 0.235 0.750
Tm 0.240 0.735 0.250
Tm 0.740 0.765 0.250
Tm 0.760 0.265 0.750
Ga 0.031 0.572 0.750
Ga 0.469 0.072 0.250
Ga 0.969 0.428 0.250
Ga 0.531 0.928 0.750
Sn 0.000 0.500 0.000
Sn 0.500 0.000 0.500
Sn 0.500 0.000 0.000
Sn 0.000 0.500 0.500
CELL_PARAMETERS angstrom
5.813 0.000 0.000
0.000 8.127 0.000
0.000 0.000 11.003
```

Values from the calculation:
The calculation puts the energy of formation at -0.278 eV/atom. The value obtained for the density of states at the Fermi level is 0.93 states/eV/atom.